(1)
Below is a geometry-optimized La6YTl structure, with properties calculated at the PBE level.

Values from the calculation:
Energy above the lowest structure with this stoichiometry   0.048 eV/atom
Energy of formation   -51 meV per atom

POSCAR file:
```
La6YTl
1.0
4.291 -5.042 0.000
4.291 5.042 0.000
-0.781 0.000 6.402
La Y Tl
6 1 1
Direct
0.029 0.630 0.276
0.149 0.149 0.199
0.370 0.971 0.724
0.630 0.029 0.276
0.851 0.851 0.801
0.971 0.370 0.724
0.500 0.500 0.000
0.500 0.500 0.500
```



(2)
Below is a geometry-optimized La4Y3Tl4 structure, with properties calculated at the PBE level.

Values from the calculation:
Energy of formation   -294 meV per atom

POSCAR file:
```
La4Y3Tl4
1.0
-1.835 4.771 9.939
1.835 -4.771 9.939
1.835 4.771 -9.939
La Y Tl
4 3 4
Direct
0.004 0.838 0.166
0.328 0.162 0.166
0.672 0.838 0.834
0.996 0.162 0.834
0.000 0.500 0.500
0.409 0.409 0.000
0.591 0.591 0.000
0.278 0.000 0.278
0.281 0.781 0.500
0.719 0.219 0.500
0.722 0.000 0.722
```



(3)
Below is a geometry-optimized La2YTl2 structure, with properties calculated at the PBE level.

Values from the calculation:
Energy above the lowest structure with this stoichiometry   0.000 eV/atom
Energy of formation   -348 meV per atom

POSCAR file:
```
La2YTl2
1.0
8.306 0.000 0.000
0.000 8.306 0.000
0.000 0.000 4.751
La Y Tl
4 2 4
Direct
0.168 0.332 0.000
0.332 0.832 0.000
0.668 0.168 0.000
0.832 0.668 0.000
0.000 0.000 0.500
0.500 0.500 0.500
0.132 0.632 0.500
0.368 0.132 0.500
0.632 0.868 0.500
0.868 0.368 0.500
```



(4)
Below is a geometry-optimized La2Y3Tl2 structure, with properties calculated at the PBE level.

Values from the calculation:
Energy of formation   -193 meV per atom

POSCAR file:
```
La2Y3Tl2
1.0
6.202 -2.335 0.000
6.202 2.335 0.000
-2.953 0.000 7.960
La Y Tl
2 3 2
Direct
0.142 0.142 0.296
0.858 0.858 0.704
0.374 0.374 0.054
0.500 0.500 0.500
0.626 0.626 0.946
0.161 0.161 0.712
0.839 0.839 0.288
```



(5)
Below is a geometry-optimized La5YTl4 structure, with properties calculated at the PBE level.

Values from the calculation:
Energy above the lowest structure with this stoichiometry   0.235 eV/atom
Energy of formation   -77 meV per atom

POSCAR file:
```
La5YTl4
1.0
8.596 0.000 0.000
0.000 9.351 0.000
0.000 0.000 8.979
La Y Tl
10 2 8
Direct
0.008 0.063 0.233
0.008 0.437 0.233
0.250 0.750 0.171
0.492 0.063 0.233
0.492 0.437 0.233
0.508 0.563 0.767
0.508 0.937 0.767
0.750 0.250 0.829
0.992 0.563 0.767
0.992 0.937 0.767
0.250 0.250 0.586
0.750 0.750 0.414
0.086 0.250 0.929
0.250 0.583 0.497
0.250 0.917 0.497
0.414 0.250 0.929
0.586 0.750 0.071
0.750 0.083 0.503
0.750 0.417 0.503
0.914 0.750 0.071
```



(6)
Below is a geometry-optimized La3YTl3 structure, with properties calculated at the PBE level.

Values from the calculation:
Energy above the lowest structure with this stoichiometry   0.073 eV/atom
Energy of formation   -242 meV per atom

POSCAR file:
```
La3YTl3
1.0
4.290 -5.541 0.000
4.290 5.541 0.000
-0.373 0.000 9.826
La Y Tl
6 2 6
Direct
0.179 0.821 0.000
0.245 0.755 0.500
0.405 0.405 0.181
0.595 0.595 0.819
0.755 0.245 0.500
0.821 0.179 0.000
0.273 0.273 0.547
0.727 0.727 0.453
0.033 0.033 0.273
0.058 0.475 0.764
0.475 0.058 0.764
0.525 0.942 0.236
0.942 0.525 0.236
0.967 0.967 0.727
```



(7)
Below is a geometry-optimized La9YTl2 structure, with properties calculated at the PBE level.

Values from the calculation:
Energy of formation   -146 meV per atom

POSCAR file:
```
La9YTl2
1.0
5.097 0.000 0.000
0.000 5.097 0.000
0.000 0.000 15.577
La Y Tl
9 1 2
Direct
0.000 0.000 0.000
0.000 0.000 0.337
0.000 0.000 0.663
0.000 0.500 0.172
0.000 0.500 0.500
0.000 0.500 0.828
0.500 0.000 0.172
0.500 0.000 0.500
0.500 0.000 0.828
0.500 0.500 0.000
0.500 0.500 0.338
0.500 0.500 0.662
```



(8)
Below is a geometry-optimized La3YTl3 structure, with properties calculated at the PBE level.

Values from the calculation:
Energy above the lowest structure with this stoichiometry   0.000 eV/atom
Energy of formation   -315 meV per atom

POSCAR file:
```
La3YTl3
1.0
9.704 0.000 0.000
0.000 9.704 0.000
0.000 0.000 9.704
La Y Tl
12 4 12
Direct
0.068 0.432 0.568
0.170 0.830 0.330
0.176 0.176 0.176
0.324 0.824 0.676
0.330 0.170 0.830
0.432 0.568 0.068
0.568 0.068 0.432
0.670 0.670 0.670
0.676 0.324 0.824
0.824 0.676 0.324
0.830 0.330 0.170
0.932 0.932 0.932
0.075 0.575 0.925
0.425 0.425 0.425
0.575 0.925 0.075
0.925 0.075 0.575
0.003 0.257 0.866
0.134 0.503 0.243
0.243 0.134 0.503
0.257 0.866 0.003
0.366 0.497 0.743
0.497 0.743 0.366
0.503 0.243 0.134
0.634 0.997 0.757
0.743 0.366 0.497
0.757 0.634 0.997
0.866 0.003 0.257
0.997 0.757 0.634
```



(9)
Below is a geometry-optimized La3YTl4 structure, with properties calculated at the PBE level.

Values from the calculation:
Energy of formation   -417 meV per atom

POSCAR file:
```
La3YTl4
1.0
3.859 0.000 0.000
0.000 3.859 0.000
0.000 0.000 16.371
La Y Tl
3 1 4
Direct
0.000 0.000 0.000
0.000 0.000 0.258
0.000 0.000 0.742
0.000 0.000 0.500
0.500 0.500 0.130
0.500 0.500 0.388
0.500 0.500 0.612
0.500 0.500 0.870
```



(10)
Below is a geometry-optimized La8YTl2 structure, with properties calculated at the PBE level.

Values from the calculation:
Energy above the lowest structure with this stoichiometry   0.000 eV/atom
Energy of formation   -98 meV per atom

POSCAR file:
```
La8YTl2
1.0
-2.643 4.549 8.018
2.643 -4.549 8.018
2.643 4.549 -8.018
La Y Tl
8 1 2
Direct
0.118 0.339 0.779
0.148 0.148 0.000
0.326 0.000 0.326
0.440 0.661 0.779
0.560 0.339 0.221
0.674 0.000 0.674
0.852 0.852 0.000
0.882 0.661 0.221
0.000 0.500 0.500
0.306 0.806 0.500
0.694 0.194 0.500
```



(11)
Below is a geometry-optimized La2Y3Tl structure, with properties calculated at the PBE level.

Values from the calculation:
Energy of formation   -91 meV per atom

POSCAR file:
```
La2Y3Tl
1.0
2.484 -7.643 0.000
2.484 7.643 0.000
0.000 0.000 5.009
La Y Tl
2 3 1
Direct
0.167 0.833 0.000
0.833 0.167 0.000
0.000 0.000 0.500
0.339 0.661 0.500
0.661 0.339 0.500
0.500 0.500 0.000
```



(12)
Below is a geometry-optimized La8Y2Tl structure, with properties calculated at the PBE level.

Values from the calculation:
Energy of formation   55 meV per atom

POSCAR file:
```
La8Y2Tl
1.0
5.270 -6.703 0.000
5.270 6.703 0.000
-0.024 0.000 5.616
La Y Tl
8 2 1
Direct
0.165 0.165 0.000
0.204 0.476 0.497
0.246 0.754 0.000
0.476 0.204 0.497
0.524 0.796 0.503
0.754 0.246 0.000
0.796 0.524 0.503
0.835 0.835 0.000
0.122 0.878 0.500
0.878 0.122 0.500
0.500 0.500 0.000
```